An optimized crystal structure of Tb3PmErSc, computed with PBE.

**Space group**: Cmcm, No. 63
**Formation enthalpy at 0 K**: 36 meV/atom

Cell lengths 7.855, 7.855, 9.984 Å; angles 90.00, 90.00, 143.17 degrees
Positions (direct):
1 Tb 0.167 0.833 0.000
2 Tb 0.167 0.833 0.500
3 Tb 0.331 0.669 0.750
4 Tb 0.669 0.331 0.250
5 Tb 0.833 0.167 0.000
6 Tb 0.833 0.167 0.500
7 Pm 0.003 0.997 0.750
8 Pm 0.997 0.003 0.250
9 Er 0.500 0.500 0.000
10 Er 0.500 0.500 0.500
11 Sc 0.332 0.668 0.250
12 Sc 0.668 0.332 0.750